Density functional theory data (PBE) for a geometry-optimized CaLa3Y2Te6 structure.

Geometry as POSCAR:
```
CaLa3Y2Te6
1.0
-2.9174 -3.2604 0.9012
1.9212 0.7173 8.8148
-5.9640 7.9127 -1.7514
Ca La Y Te
1 3 2 6
direct
0.5000 0.0000 0.0000
0.5000 0.5000 0.0000
0.8341 0.1703 0.6681
0.1659 0.8297 0.3319
0.8308 0.6613 0.6616
0.1692 0.3387 0.3384
0.3357 0.9072 0.6714
0.6690 0.5746 0.3379
0.6643 0.0928 0.3286
0.0051 0.2439 0.0101
0.9949 0.7561 0.9899
0.3310 0.4254 0.6621
```

Properties
* raw formation energy: -1503 meV per atom
* space-group type: C2/m

***

Density functional theory data (PBE) for a geometry-optimized Ca3LaY3Te8 structure.

Geometry as POSCAR:
```
Ca3LaY3Te8
1.0
-1.0641 8.0604 3.4261
-6.9681 -5.3134 -1.0236
6.0849 -1.8577 6.2606
Ca La Y Te
3 1 3 8
direct
0.0000 0.0000 0.0000
0.0000 0.5000 0.0000
0.5000 0.5000 0.0000
0.0000 0.0000 0.5000
0.5000 0.0000 0.5000
0.5000 0.5000 0.5000
0.0000 0.5000 0.5000
0.2516 0.5032 0.2551
0.7484 0.4968 0.7449
0.7421 0.4841 0.2477
0.2579 0.5159 0.7523
0.7422 0.0058 0.2481
0.2578 0.9942 0.7519
0.2636 0.0058 0.2481
0.7364 0.9942 0.7519
```

Properties
* raw formation energy: -1510 meV per atom
* space-group type: R-3m

***

Density functional theory data (PBE) for a geometry-optimized Ca3LaY2Te6 structure.

Geometry as POSCAR:
```
Ca3LaY2Te6
1.0
7.6872 0.0019 -0.0012
-3.8401 6.6593 -0.0012
-1.2846 -2.2243 7.3960
Ca La Y Te
3 1 2 6
direct
0.1628 0.8372 0.5000
0.8372 0.1628 0.5000
0.5000 0.5000 0.5000
0.0000 0.0000 0.0000
0.3326 0.6674 0.0000
0.6674 0.3326 0.0000
0.9162 0.5731 0.7490
0.7396 0.7396 0.2484
0.0838 0.4269 0.2510
0.5731 0.9162 0.7490
0.2604 0.2604 0.7516
0.4269 0.0838 0.2510
```

Properties
* raw formation energy: -1505 meV per atom
* space-group type: C2/m

***

Density functional theory data (PBE) for a geometry-optimized CaLa2YTe4 structure.

Geometry as POSCAR:
```
CaLa2YTe4
1.0
-0.3144 -3.7682 2.3941
7.3436 1.0187 2.5679
-0.1608 4.1856 6.5670
Ca La Y Te
1 2 1 4
direct
0.5000 0.5000 0.0000
0.0000 0.0000 0.0000
0.5000 0.0000 0.5000
0.0000 0.5000 0.5000
0.0000 0.7367 0.7525
0.0000 0.2633 0.2475
0.5000 0.7352 0.2563
0.5000 0.2648 0.7437
```

Properties
* raw formation energy: -1520 meV per atom
* space-group type: P2/m

***

Density functional theory data (PBE) for a geometry-optimized CaLa4Y3Te8 structure.

Geometry as POSCAR:
```
CaLa4Y3Te8
1.0
8.9457 0.0000 -0.0001
0.0000 9.0100 0.0396
-4.4729 -4.4682 6.3286
Ca La Y Te
1 4 3 8
direct
0.0000 0.5000 0.0000
0.5000 0.0000 0.0000
0.5000 0.0000 0.5000
0.0000 0.0000 0.0000
0.0000 0.0000 0.5000
0.5000 0.5000 0.0000
0.5000 0.5000 0.5000
0.0000 0.5000 0.5000
0.2455 0.7347 0.9892
0.2455 0.7347 0.4911
0.2553 0.2658 0.5105
0.7436 0.7347 0.9892
0.2564 0.2653 0.0108
0.7447 0.7342 0.4895
0.7545 0.2653 0.5089
0.7545 0.2653 0.0108
```

Properties
* raw formation energy: -1488 meV per atom
* space-group type: R-3m

***

Density functional theory data (PBE) for a geometry-optimized CaLa6Th structure.

Geometry as POSCAR:
```
CaLa6Th
1.0
-3.8871 0.2155 3.5390
3.4262 -1.1231 3.8315
1.8264 10.2798 1.3801
Ca La Th
1 6 1
direct
0.0000 0.0000 0.0000
0.5000 0.5000 0.0000
0.5000 0.5000 0.5000
0.5000 0.0000 0.2644
0.5000 0.0000 0.7356
0.0000 0.5000 0.2644
0.0000 0.5000 0.7356
0.0000 0.0000 0.5000
```

Properties
* space-group type: P4/mmm
* energy of formation from the pure elements: 0.04 eV per atom

***

Density functional theory data (PBE) for a geometry-optimized CaLa14Th structure.

Geometry as POSCAR:
```
CaLa14Th
1.0
-2.5074 -5.2827 4.6036
-4.8400 -2.2313 -5.1944
7.1750 -6.7172 -3.8001
Ca La Th
1 14 1
direct
0.8763 0.1237 0.0000
0.3767 0.6233 0.5000
0.8734 0.1266 0.5000
0.8738 0.6227 0.0000
0.8761 0.6271 0.5000
0.3773 0.1262 0.0000
0.3729 0.1239 0.5000
0.6153 0.8658 0.7504
0.6153 0.8658 0.2496
0.1342 0.3847 0.7504
0.1342 0.3847 0.2496
0.1343 0.8657 0.7505
0.1343 0.8657 0.2495
0.6158 0.3842 0.7503
0.6158 0.3842 0.2497
0.3744 0.6256 0.0000
```

Properties
* space-group type: Amm2
* energy of formation from the pure elements: 0.02 eV per atom

***

Density functional theory data (PBE) for a geometry-optimized CaLa3Th structure.

Geometry as POSCAR:
```
CaLa3Th
1.0
6.3396 0.0000 0.0000
0.0000 6.6387 1.8229
0.0000 0.8853 9.7760
Ca La Th
2 6 2
direct
0.7500 0.1833 0.6333
0.2500 0.8167 0.3667
0.7500 0.5938 0.2698
0.7500 0.1364 0.2698
0.2500 0.8636 0.7302
0.2500 0.4062 0.7302
0.0000 0.0000 0.0000
0.5000 0.0000 0.0000
0.7500 0.5391 0.9217
0.2500 0.4609 0.0783
```

Properties
* space-group type: Cmcm
* energy of formation from the pure elements: 0.33 eV per atom

***

Density functional theory data (PBE) for a geometry-optimized Ca2La4Th structure.

Geometry as POSCAR:
```
Ca2La4Th
1.0
-3.4709 0.1476 -1.0126
-1.5250 -2.0425 4.9293
-0.1020 13.0509 2.2524
Ca Th La
2 1 4
direct
0.5000 0.2100 0.4200
0.5000 0.7900 0.5800
0.0000 0.5000 0.0000
0.5000 0.0660 0.1321
0.0000 0.3649 0.7299
0.5000 0.9340 0.8679
0.0000 0.6351 0.2701
```

Properties
* space-group type: Cmmm
* energy of formation from the pure elements: 0.08 eV per atom

***

Density functional theory data (PBE) for a geometry-optimized CaLaTmTh structure.

Geometry as POSCAR:
```
CaLaTmTh
1.0
5.7986 0.0000 0.0000
2.8993 5.0217 0.0000
2.8993 1.6739 4.7345
Ca Tm Th La
1 1 1 1
direct
0.2500 0.2500 0.2500
0.7500 0.7500 0.7500
0.0000 0.0000 0.0000
0.5000 0.5000 0.5000
```

Properties
* space-group type: F-43m
* energy of formation from the pure elements: 0.19 eV per atom

***

Density functional theory data (PBE) for a geometry-optimized CaLaYTh structure.

Geometry as POSCAR:
```
CaLaYTh
1.0
5.8393 0.0000 0.0000
2.9197 5.0570 0.0000
2.9197 1.6857 4.7678
Y Ca Th La
1 1 1 1
direct
0.0000 0.0000 0.0000
0.2500 0.2500 0.2500
0.7500 0.7500 0.7500
0.5000 0.5000 0.5000
```

Properties
* space-group type: F-43m
* energy of formation from the pure elements: 0.22 eV per atom

***

Density functional theory data (PBE) for a geometry-optimized CaLaTi structure.

Geometry as POSCAR:
```
CaLaTi
1.0
3.5501 0.0000 -0.0012
0.0000 4.9937 0.0000
-1.7554 0.0000 10.6841
Ca Ti La
2 2 2
direct
0.8028 0.2500 0.1052
0.1972 0.7500 0.8948
0.9726 0.2500 0.4399
0.0274 0.7500 0.5601
0.5931 0.2500 0.6877
0.4069 0.7500 0.3123
```

Properties
* space-group type: P2_1/m
* energy of formation from the pure elements: 0.24 eV per atom
* ΔE to the lowest computed polymorph: 104 meV/atom

***

no.,M_tot (μB per formula unit)
1,0.00
2,0.00
3,0.00
4,0.00
5,0.00
6,0.00
7,0.00
8,0.00
9,0.00
10,0.00
11,0.92
12,0.00